Record 1
# ReS2ClF GGA-PBE optimized geometry
data_ReS2ClF
_cell_length_a 4.080
_cell_length_b 4.080
_cell_length_c 4.861
_cell_angle_alpha 90.00
_cell_angle_beta 90.00
_cell_angle_gamma 90.00
_space_group_name_H-M_alt 'P 4/m m m'
_space_group_IT_number 123
_space_group_name_Hall '-P 4 2'
loop_
_atom_site_label
_atom_site_fract_x
_atom_site_fract_y
_atom_site_fract_z
Re1 0.000 0.000 0.000
S1 0.000 0.500 0.500
Cl1 0.500 0.500 0.000
F1 0.500 0.500 0.500
# energy above the lowest structure with this stoichiometry: 1.4330 eV per atom



Record 2
# ReS2ClF GGA-PBE optimized geometry
data_ReS2ClF
_cell_length_a 4.531
_cell_length_b 4.531
_cell_length_c 4.782
_cell_angle_alpha 90.00
_cell_angle_beta 90.00
_cell_angle_gamma 90.00
_space_group_name_H-M_alt 'P 4/m m m'
_space_group_IT_number 123
_space_group_name_Hall '-P 4 2'
loop_
_atom_site_label
_atom_site_fract_x
_atom_site_fract_y
_atom_site_fract_z
Re1 0.000 0.000 0.000
S1 0.000 0.500 0.000
Cl1 0.000 0.000 0.500
F1 0.500 0.500 0.500
# energy above the lowest structure with this stoichiometry: 0.0000 eV per atom



| no. | uncorrected formation energy (eV/atom) | N(E_F) (states/eV per cell) | V (Å³ per atom) |
| --- | --- | --- | --- |
| 1 | 1.450 | 6.770 | 16.187 |
| 2 | 0.017 | 5.050 | 19.637 |